No. 1
# ZnCu4

Crystalline ZnCu4 at its relaxed geometry (GGA-PBEsol, Alexandria via LeMat-Bulk).

Lattice parameters (Å, degrees): 4.4009 4.4009 4.4009 99.72 99.72 131.47
Atoms (fractional coordinates):
Zn 0.0000 0.0000 0.0000
Cu 0.1982 0.5994 0.7976
Cu 0.4006 0.1982 0.5988
Cu 0.5994 0.8018 0.4012
Cu 0.8018 0.4006 0.2024

- space-group type = I4/m, No. 87
- crystal system = tetragonal

=====

No. 2
# AlCuP2

Crystalline AlCuP2 at its relaxed geometry (GGA-PBEsol, Alexandria via LeMat-Bulk).

Lattice parameters (Å, degrees): 3.8619 3.8619 5.2215 103.94 103.94 54.94
Atoms (fractional coordinates):
Al 0.0000 0.0000 0.0000
Cu 0.9006 0.9006 0.5141
P 0.3532 0.3532 0.2169
P 0.6164 0.6164 0.6869

- space-group type = Cm, No. 8
- crystal system = monoclinic

=====

| no. | calculated total energy (eV for the cell shown) |
| --- | --- |
| 1 | -19.20 |
| 2 | -20.54 |